# 1
VASP calculation (GGA-PBE) on Ta3HCl after structural relaxation.

```
Ta3HCl
1.0
-0.912 3.204 -2.591
-0.984 -2.747 -3.050
-4.002 -0.055 1.341
Ta H Cl
3 1 1
Cartesian
-2.001 -0.028 0.670 Ta
-0.492 -1.373 -1.525 Ta
-0.456 1.602 -1.296 Ta
0.000 0.000 0.000 H
-2.949 0.201 -2.151 Cl
```

M_tot: 0.00 μB per formula unit
SG: Pm-3m
E: -37.6 eV for the cell shown
Energy above the most stable polymorph in this dataset: 0 meV/atom

=====

# 2
VASP calculation (GGA-PBE) on Ta2HCl after structural relaxation.

```
Ta2HCl
1.0
0.335 1.247 4.058
-3.507 0.826 2.270
-1.172 -2.628 3.139
Cl H Ta
1 1 2
Cartesian
-2.172 -0.278 4.734 Cl
0.000 0.000 0.000 H
-1.086 -0.139 2.367 Ta
-3.258 -0.416 7.100 Ta
```

M_tot: 0.00 μB per formula unit
SG: Fm-3m
E: -24.9 eV for the cell shown
Energy above the most stable polymorph in this dataset: 674 meV/atom

=====

Question: Which formula does entry 2 have?
Answer: Ta2HCl

=====

Question: What is the formula in the first record?
Answer: Ta3HCl

=====

What did the second record say?
VASP calculation (GGA-PBE) on Ta2HCl after structural relaxation.

```
Ta2HCl
1.0
0.335 1.247 4.058
-3.507 0.826 2.270
-1.172 -2.628 3.139
Cl H Ta
1 1 2
Cartesian
-2.172 -0.278 4.734 Cl
0.000 0.000 0.000 H
-1.086 -0.139 2.367 Ta
-3.258 -0.416 7.100 Ta
```

M_tot: 0.00 μB per formula unit
SG: Fm-3m
E: -24.9 eV for the cell shown
Energy above the most stable polymorph in this dataset: 674 meV/atom

=====

Please write out number 1 again, unchanged.
VASP calculation (GGA-PBE) on Ta3HCl after structural relaxation.

```
Ta3HCl
1.0
-0.912 3.204 -2.591
-0.984 -2.747 -3.050
-4.002 -0.055 1.341
Ta H Cl
3 1 1
Cartesian
-2.001 -0.028 0.670 Ta
-0.492 -1.373 -1.525 Ta
-0.456 1.602 -1.296 Ta
0.000 0.000 0.000 H
-2.949 0.201 -2.151 Cl
```

M_tot: 0.00 μB per formula unit
SG: Pm-3m
E: -37.6 eV for the cell shown
Energy above the most stable polymorph in this dataset: 0 meV/atom